Below is a geometry-optimized TmTiRu structure, with properties calculated at the PBE level.

Energy of formation from the pure elements: -0.32 eV per atom
ΔE to the lowest computed polymorph: 90 meV/atom
SG: I4mm (107)

a b c (Å): 3.230 3.230 5.928
angles (deg): 105.81 105.81 90.00
Each line ends with the local moment (μB).
Sites, in units of the cell vectors:
Ru  0.685  0.685  0.369  0.02
Tm  0.013  0.013  0.025  0.30
Ti  0.303  0.303  0.606  0.53

Below is a geometry-optimized BaNi3 structure, with properties calculated at the PBE level.

Energy of formation from the pure elements: 0.26 eV per atom
SG: P2/m (10)

a b c (Å): 4.069 4.347 4.967
angles (deg): 81.09 90.00 90.00
Sites, in units of the cell vectors:
Ba  0.000  0.000  0.000
Ni  0.500  0.743  0.561
Ni  0.000  0.500  0.500
Ni  0.500  0.257  0.439

Below is a geometry-optimized Cd2In4Pb5 structure, with properties calculated at the PBE level.

Energy of formation from the pure elements: 0.04 eV per atom
SG: Pbam (55)

a b c (Å): 5.028 7.181 17.537
angles (deg): 90.00 90.00 90.00
Sites, in units of the cell vectors:
Cd  0.500  0.530  0.294
Cd  0.500  0.470  0.706
Cd  0.500  0.030  0.206
Cd  0.500  0.970  0.794
In  0.500  0.289  0.545
In  0.500  0.711  0.455
In  0.500  0.789  0.955
In  0.500  0.211  0.045
In  0.500  0.378  0.872
In  0.500  0.622  0.128
In  0.500  0.878  0.628
In  0.500  0.122  0.372
Pb  0.000  0.500  0.000
Pb  0.000  0.000  0.500
Pb  0.000  0.344  0.200
Pb  0.000  0.656  0.800
Pb  0.000  0.844  0.300
Pb  0.000  0.156  0.700
Pb  0.000  0.423  0.405
Pb  0.000  0.577  0.595
Pb  0.000  0.923  0.095
Pb  0.000  0.077  0.905